[1]
A plane-wave DFT calculation with GGA-PBE was carried out for crystalline BaHfMoRh2 at its relaxed geometry.

Cell and atoms, written as POSCAR:
```
BaHfMoRh2
1.0
4.9634 0.0000 0.0000
0.0000 4.9634 0.0000
0.0000 0.0000 4.9183
Ba Hf Mo Rh
1 1 1 2
Direct
0.0000 0.0000 0.0000
0.5000 0.5000 0.0000
0.5000 0.5000 0.5000
0.0000 0.5000 0.5000
0.5000 0.0000 0.5000
```

Properties
For the energy, the calculation gives -6.955 eV/atom. Its magnetization is 0.000 μB/cell.

[2]
A plane-wave DFT calculation with GGA-PBE was carried out for crystalline BaHf2MoSe at its relaxed geometry.

Cell and atoms, written as POSCAR:
```
BaHf2MoSe
1.0
4.9288 0.0000 0.0000
0.0000 4.9288 0.0000
0.0000 0.0000 6.4273
Ba Hf Mo Se
1 2 1 1
Direct
0.0000 0.0000 0.0000
0.0000 0.5000 0.5000
0.5000 0.0000 0.5000
0.0000 0.0000 0.5000
0.5000 0.5000 0.0000
```

Properties
The calculation puts the raw formation energy at 0.540 eV/atom. Its magnetization is 0.000 μB/cell.

[3]
A plane-wave DFT calculation with GGA-PBE was carried out for crystalline BaHfTeMo2 at its relaxed geometry.

Cell and atoms, written as POSCAR:
```
BaHfTeMo2
1.0
5.0149 0.0000 0.0000
0.0000 5.0149 0.0000
0.0000 0.0000 5.3490
Ba Hf Te Mo
1 1 1 2
Direct
0.0000 0.0000 0.0000
0.0000 0.0000 0.5000
0.5000 0.5000 0.5000
0.0000 0.5000 0.0000
0.5000 0.0000 0.0000
```

Properties
The calculation puts the raw formation energy at 2.535 eV/atom. Its magnetization is 0.550 μB/cell.

[4]
A plane-wave DFT calculation with GGA-PBE was carried out for crystalline Ba2HfMoW at its relaxed geometry.

Cell and atoms, written as POSCAR:
```
Ba2HfMoW
1.0
5.9938 0.0000 0.0000
0.0000 5.9938 0.0000
0.0000 0.0000 4.6911
Ba Hf Mo W
2 1 1 1
Direct
0.0000 0.5000 0.0000
0.5000 0.0000 0.0000
0.0000 0.0000 0.5000
0.5000 0.5000 0.0000
0.5000 0.5000 0.5000
```

Properties
For the energy, the calculation gives -5.768 eV/atom. Its magnetization is 0.240 μB/cell.

[5]
A plane-wave DFT calculation with GGA-PBE was carried out for crystalline BaHfZr2Mo at its relaxed geometry.

Cell and atoms, written as POSCAR:
```
BaHfZr2Mo
1.0
5.1291 0.0000 0.0000
0.0000 5.1291 0.0000
0.0000 0.0000 5.5047
Ba Hf Zr Mo
1 1 2 1
Direct
0.0000 0.0000 0.0000
0.5000 0.5000 0.0000
0.0000 0.5000 0.5000
0.5000 0.0000 0.5000
0.0000 0.0000 0.5000
```

Properties
For the energy, the calculation gives -6.792 eV/atom. Its magnetization is 0.000 μB/cell.

[6]
A plane-wave DFT calculation with GGA-PBE was carried out for crystalline BaHfN2 at its relaxed geometry.

Cell and atoms, written as POSCAR:
```
BaHfN2
1.0
0.0000 3.1010 3.1010
3.1010 0.0000 3.1010
3.1010 3.1010 0.0000
Ba Hf N
1 1 2
Direct
0.0000 0.0000 0.0000
0.5000 0.5000 0.5000
0.2500 0.2500 0.2500
0.7500 0.7500 0.7500
```

Properties
The calculation puts the raw formation energy at 0.318 eV/atom. Its magnetization is 0.000 μB/cell.

[7]
A plane-wave DFT calculation with GGA-PBE was carried out for crystalline BaHf2N at its relaxed geometry.

Cell and atoms, written as POSCAR:
```
BaHf2N
1.0
0.0000 4.8136 4.8136
4.8136 0.0000 4.8136
4.8136 4.8136 0.0000
Ba Hf N
2 4 2
Direct
0.1250 0.1250 0.1250
0.8750 0.8750 0.8750
0.0000 0.5000 0.5000
0.5000 0.0000 0.5000
0.5000 0.5000 0.0000
0.5000 0.5000 0.5000
0.3750 0.3750 0.3750
0.6250 0.6250 0.6250
```

Properties
The calculation puts the raw formation energy at -0.360 eV/atom. Its magnetization is 0.000 μB/cell.

[8]
A plane-wave DFT calculation with GGA-PBE was carried out for crystalline BaHf2N3 at its relaxed geometry.

Cell and atoms, written as POSCAR:
```
BaHf2N3
1.0
-1.8703 2.2317 5.6092
1.8703 -2.2317 5.6092
1.8703 2.2317 -5.6092
Ba Hf N
1 2 3
Direct
0.0000 0.0000 0.0000
0.3137 0.3137 0.0000
0.6863 0.6863 0.0000
0.2144 0.7144 0.5000
0.5000 0.5000 0.0000
0.7856 0.2856 0.5000
```

Properties
The calculation puts the raw formation energy at -1.450 eV/atom. Its magnetization is 0.000 μB/cell.

[9]
A plane-wave DFT calculation with GGA-PBE was carried out for crystalline Ba2HfN at its relaxed geometry.

Cell and atoms, written as POSCAR:
```
Ba2HfN
1.0
-5.7407 5.7407 2.0974
5.7407 -5.7407 2.0974
5.7407 5.7407 -2.0974
Ba Hf N
4 2 2
Direct
0.3750 0.2073 0.3323
0.7927 0.1250 0.1677
0.8750 0.0427 0.6677
0.9573 0.6250 0.8323
0.2500 0.7500 0.5000
0.5000 0.5000 0.0000
0.0000 0.0000 0.0000
0.7500 0.2500 0.5000
```

Properties
The calculation puts the raw formation energy at -0.214 eV/atom. Its magnetization is 0.001 μB/cell.

[10]
A plane-wave DFT calculation with GGA-PBE was carried out for crystalline BaHf2N2 at its relaxed geometry.

Cell and atoms, written as POSCAR:
```
BaHf2N2
1.0
7.0601 0.0000 0.0000
0.0000 7.0601 0.0000
0.0000 0.0000 3.1128
Ba Hf N
2 4 4
Direct
0.0000 0.0000 0.0000
0.5000 0.5000 0.0000
0.1370 0.3630 0.5000
0.3630 0.8630 0.5000
0.6370 0.1370 0.5000
0.8630 0.6370 0.5000
0.1238 0.6238 0.0000
0.3762 0.1238 0.0000
0.6238 0.8762 0.0000
0.8762 0.3762 0.0000
```

Properties
The calculation puts the raw formation energy at 0.097 eV/atom. Its magnetization is 0.000 μB/cell.

[11]
A plane-wave DFT calculation with GGA-PBE was carried out for crystalline Ba7HfN6 at its relaxed geometry.

Cell and atoms, written as POSCAR:
```
Ba7HfN6
1.0
12.5099 0.0000 0.0000
0.0000 7.2780 0.0000
0.0000 0.0000 14.9543
Ba Hf N
28 4 24
Direct
0.0000 0.0545 0.2500
0.0000 0.9455 0.7500
0.0088 0.2425 0.5268
0.0088 0.7575 0.0268
0.2182 0.4151 0.1216
0.2182 0.5849 0.6216
0.2329 0.2614 0.3724
0.2329 0.7386 0.8724
0.2671 0.2386 0.8724
0.2671 0.7614 0.3724
0.2818 0.0849 0.6216
0.2818 0.9151 0.1216
0.4912 0.2575 0.0268
0.4912 0.7425 0.5268
0.5000 0.4455 0.7500
0.5000 0.5545 0.2500
0.5088 0.2575 0.4732
0.5088 0.7425 0.9732
0.7182 0.0849 0.8784
0.7182 0.9151 0.3784
0.7329 0.2386 0.6276
0.7329 0.7614 0.1276
0.7671 0.2614 0.1276
0.7671 0.7386 0.6276
0.7818 0.4151 0.3784
0.7818 0.5849 0.8784
0.9912 0.2425 0.9732
0.9912 0.7575 0.4732
0.0000 0.4371 0.7500
0.0000 0.5629 0.2500
0.5000 0.0629 0.2500
0.5000 0.9371 0.7500
0.0233 0.3917 0.3594
0.0233 0.6083 0.8594
0.1295 0.2630 0.7183
0.1295 0.7370 0.2183
0.1655 0.0285 0.9856
0.1655 0.9715 0.4856
0.3345 0.4715 0.4856
0.3345 0.5285 0.9856
0.3705 0.2370 0.2183
0.3705 0.7630 0.7183
0.4767 0.1083 0.8594
0.4767 0.8917 0.3594
0.5233 0.1083 0.6406
0.5233 0.8917 0.1406
0.6295 0.2370 0.2817
0.6295 0.7630 0.7817
0.6655 0.4715 0.0144
0.6655 0.5285 0.5144
0.8345 0.0285 0.5144
0.8345 0.9715 0.0144
0.8705 0.2630 0.7817
0.8705 0.7370 0.2817
0.9767 0.3917 0.1406
0.9767 0.6083 0.6406
```

Properties
The calculation puts the raw formation energy at -0.638 eV/atom. Its magnetization is 0.000 μB/cell.

[12]
A plane-wave DFT calculation with GGA-PBE was carried out for crystalline BaHf2N2 at its relaxed geometry.

Cell and atoms, written as POSCAR:
```
BaHf2N2
1.0
-2.1191 2.1191 6.7352
2.1191 -2.1191 6.7352
2.1191 2.1191 -6.7352
Ba Hf N
1 2 2
Direct
0.0000 0.0000 0.0000
0.2500 0.7500 0.5000
0.7500 0.2500 0.5000
0.2160 0.2160 0.0000
0.7840 0.7840 0.0000
```

Properties
The calculation puts the raw formation energy at -1.014 eV/atom. Its magnetization is 0.000 μB/cell.